Record 1
Computed, not measured: a relaxed structure of LiMgH4Rh at the GGA-PBE level of DFT.

Values from the calculation:
DFT total energy   -3.78 eV/atom
Calculated volume   9.05 Å³ per atom
Spin magnetization   0.00 μB/f.u.
SG   I4mm, No. 107

Lattice parameters (Å, degrees): 5.596 5.596 5.596 142.89 142.89 53.49
Fractional positions:
Li1 0.000 0.000 0.000
Mg1 0.728 0.728 0.000
H1 0.186 0.186 0.000
H2 0.371 0.871 0.500
H3 0.533 0.533 0.000
H4 0.871 0.371 0.500
Rh1 0.357 0.357 0.000

***

Record 2
Computed, not measured: a relaxed structure of ScCd2Au5 at the GGA-PBE level of DFT.

Values from the calculation:
DFT total energy   -3.43 eV/atom
Calculated volume   18.99 Å³ per atom
Spin magnetization   0.00 μB/f.u.
SG   I4/mmm, No. 139

Lattice parameters (Å, degrees): 8.132 8.132 8.132 147.82 147.82 46.15
Fractional positions:
Sc1 0.000 0.000 0.000
Cd1 0.252 0.252 0.000
Cd2 0.748 0.748 0.000
Au1 0.122 0.622 0.500
Au2 0.378 0.878 0.500
Au3 0.500 0.500 0.000
Au4 0.622 0.122 0.500
Au5 0.878 0.378 0.500

***

Record 3
Computed, not measured: a relaxed structure of Tl2PdPt at the GGA-PBE level of DFT.

Values from the calculation:
Polymorph energy (0 for the lowest one)   0.0542 eV/atom
Calculated volume   19.59 Å³ per atom
Spin magnetization   0.00 μB/f.u.
SG   P4/mmm, No. 123

Lattice parameters (Å, degrees): 4.762 4.762 3.455 90.00 90.00 90.00
Fractional positions:
Tl1 0.000 0.500 0.000
Tl2 0.500 0.000 0.000
Pd1 0.000 0.000 0.500
Pt1 0.500 0.500 0.500

***

Record 4
Computed, not measured: a relaxed structure of Tl3HgP at the GGA-PBE level of DFT.

Values from the calculation:
Polymorph energy (0 for the lowest one)   0.5709 eV/atom
Calculated volume   36.10 Å³ per atom
Spin magnetization   0.57 μB/f.u.
SG   Pm-3m, No. 221

Lattice parameters (Å, degrees): 5.651 5.651 5.651 90.00 90.00 90.00
Fractional positions:
Tl1 0.000 0.000 0.500
Tl2 0.000 0.500 0.000
Tl3 0.500 0.000 0.000
Hg1 0.000 0.000 0.000
P1 0.500 0.500 0.500

***

Record 5
Computed, not measured: a relaxed structure of Sc2SiBr at the GGA-PBE level of DFT.

Values from the calculation:
Polymorph energy (0 for the lowest one)   0.6375 eV/atom
Calculated volume   24.44 Å³ per atom
Spin magnetization   1.11 μB/f.u.
SG   R3m, No. 160
ΔE_f (raw)   -25.5 kJ per mole of atoms

Lattice parameters (Å, degrees): 9.973 9.973 9.973 19.61 19.61 19.61
Fractional positions:
Sc1 0.000 0.000 0.000
Sc2 0.242 0.242 0.242
Si1 0.733 0.733 0.733
Br1 0.512 0.512 0.512

***

Record 6
Computed, not measured: a relaxed structure of TlBi2H at the GGA-PBE level of DFT.

Values from the calculation:
Polymorph energy (0 for the lowest one)   0.3909 eV/atom
Calculated volume   25.18 Å³ per atom
Spin magnetization   0.00 μB/f.u.
SG   Fm-3m, No. 225

Lattice parameters (Å, degrees): 5.223 5.223 5.223 60.00 60.00 60.00
Fractional positions:
Tl1 0.000 0.000 0.000
Bi1 0.250 0.250 0.250
Bi2 0.750 0.750 0.750
H1 0.500 0.500 0.500

***

Record 7
Computed, not measured: a relaxed structure of Hg3P at the GGA-PBE level of DFT.

Values from the calculation:
Polymorph energy (0 for the lowest one)   0.2689 eV/atom
Calculated volume   24.83 Å³ per atom
Spin magnetization   0.00 μB/f.u.
SG   I4/mmm, No. 139

Lattice parameters (Å, degrees): 11.245 11.245 11.245 158.04 158.04 31.25
Fractional positions:
Hg1 0.000 0.500 0.500
Hg2 0.115 0.115 0.000
Hg3 0.250 0.750 0.500
Hg4 0.500 0.000 0.500
Hg5 0.750 0.250 0.500
Hg6 0.885 0.885 0.000
P1 0.332 0.332 0.000
P2 0.668 0.668 0.000

***

Record 8
Computed, not measured: a relaxed structure of ScCoCuRu at the GGA-PBE level of DFT.

Values from the calculation:
DFT total energy   -6.77 eV/atom
Calculated volume   14.32 Å³ per atom
Spin magnetization   2.37 μB/f.u.
SG   F-43m, No. 216

Lattice parameters (Å, degrees): 4.326 4.326 4.326 60.00 60.00 60.00
Fractional positions:
Sc1 0.000 0.000 0.000
Co1 0.750 0.750 0.750
Cu1 0.250 0.250 0.250
Ru1 0.500 0.500 0.500

***

Record 9
Computed, not measured: a relaxed structure of MnTl2BiS4 at the GGA-PBE level of DFT.

Values from the calculation:
Calculated volume   28.97 Å³ per atom
Spin magnetization   4.00 μB/f.u.
SG   Pmn2_1, No. 31
ΔE_f (raw)   -32.2 kJ per mole of atoms

Lattice parameters (Å, degrees): 8.308 9.307 5.995 90.00 90.00 90.00
Fractional positions:
Mn1 0.000 0.181 0.000
Mn2 0.500 0.819 0.500
Tl1 0.205 0.638 0.059
Tl2 0.295 0.362 0.559
Tl3 0.705 0.362 0.559
Tl4 0.795 0.638 0.059
Bi1 0.000 0.910 0.543
Bi2 0.500 0.090 0.043
S1 0.000 0.214 0.626
S2 0.000 0.939 0.106
S3 0.250 0.277 0.069
S4 0.250 0.723 0.569
S5 0.500 0.061 0.606
S6 0.500 0.786 0.126
S7 0.750 0.277 0.069
S8 0.750 0.723 0.569

***

Record 10
Computed, not measured: a relaxed structure of Zr2NpPa at the GGA-PBE level of DFT.

Values from the calculation:
Polymorph energy (0 for the lowest one)   0.0000 eV/atom
Calculated volume   23.56 Å³ per atom
Spin magnetization   3.59 μB/f.u.
SG   P4/mmm, No. 123

Lattice parameters (Å, degrees): 3.057 3.057 10.085 90.00 90.00 90.00
Fractional positions:
Zr1 0.000 0.000 0.247
Zr2 0.000 0.000 0.753
Np1 0.500 0.500 0.000
Pa1 0.500 0.500 0.500

***

Record 11
Computed, not measured: a relaxed structure of Pm6NdY3 at the GGA-PBE level of DFT.

Values from the calculation:
Polymorph energy (0 for the lowest one)   0.0115 eV/atom
Calculated volume   34.09 Å³ per atom
Spin magnetization   0.00 μB/f.u.
SG   Cmc2_1, No. 36

Lattice parameters (Å, degrees): 11.232 11.232 6.254 90.00 90.00 120.21
Fractional positions:
Pm1 0.041 0.959 0.500
Pm2 0.051 0.471 0.040
Pm3 0.281 0.719 0.776
Pm4 0.291 0.376 0.875
Pm5 0.376 0.291 0.375
Pm6 0.471 0.051 0.540
Pm7 0.529 0.949 0.040
Pm8 0.624 0.709 0.875
Pm9 0.709 0.624 0.375
Pm10 0.719 0.281 0.276
Pm11 0.949 0.529 0.540
Pm12 0.959 0.041 0.000
Nd1 0.200 0.800 0.299
Nd2 0.800 0.200 0.799
Y1 0.058 0.283 0.448
Y2 0.283 0.058 0.948
Y3 0.386 0.614 0.337
Y4 0.614 0.386 0.837
Y5 0.717 0.942 0.448
Y6 0.942 0.717 0.948

***

Record 12
Computed, not measured: a relaxed structure of Th3HgOs at the GGA-PBE level of DFT.

Values from the calculation:
Polymorph energy (0 for the lowest one)   0.0212 eV/atom
Calculated volume   28.65 Å³ per atom
Spin magnetization   0.00 μB/f.u.
SG   C2/m, No. 12

Lattice parameters (Å, degrees): 6.601 6.601 9.195 109.20 109.20 50.13
Fractional positions:
Th1 0.132 0.132 0.266
Th2 0.142 0.142 0.646
Th3 0.368 0.368 0.070
Th4 0.632 0.632 0.930
Th5 0.858 0.858 0.354
Th6 0.868 0.868 0.734
Hg1 0.402 0.402 0.566
Hg2 0.598 0.598 0.434
Os1 0.107 0.107 0.939
Os2 0.893 0.893 0.061

***

Record 13
Computed, not measured: a relaxed structure of Sc2TlCu at the GGA-PBE level of DFT.

Values from the calculation:
DFT total energy   -4.65 eV/atom
Calculated volume   24.42 Å³ per atom
Spin magnetization   0.00 μB/f.u.
SG   R-3m, No. 166

Lattice parameters (Å, degrees): 9.995 9.995 9.995 19.54 19.54 19.54
Fractional positions:
Sc1 0.104 0.104 0.104
Sc2 0.896 0.896 0.896
Tl1 0.000 0.000 0.000
Cu1 0.500 0.500 0.500

***

Record 14
Computed, not measured: a relaxed structure of ThSbPt4 at the GGA-PBE level of DFT.

Values from the calculation:
Calculated volume   19.41 Å³ per atom
Spin magnetization   0.00 μB/f.u.
SG   F-43m, No. 216
ΔE_f (raw)   -70.2 kJ per mole of atoms

Lattice parameters (Å, degrees): 5.481 5.481 5.481 60.00 60.00 60.00
Fractional positions:
Th1 0.000 0.000 0.000
Sb1 0.750 0.750 0.750
Pt1 0.375 0.375 0.375
Pt2 0.375 0.375 0.874
Pt3 0.375 0.874 0.375
Pt4 0.874 0.375 0.375

***

Record 15
Computed, not measured: a relaxed structure of K3Tb3SbS8 at the GGA-PBE level of DFT.

Values from the calculation:
Calculated volume   27.93 Å³ per atom
Spin magnetization   0.00 μB/f.u.
SG   R-3m, No. 166
ΔE_f (raw)   -148.2 kJ per mole of atoms

Lattice parameters (Å, degrees): 8.817 8.817 8.817 54.19 54.19 54.19
Fractional positions:
K1 0.000 0.500 0.500
K2 0.500 0.000 0.500
K3 0.500 0.500 0.000
Tb1 0.000 0.000 0.500
Tb2 0.000 0.500 0.000
Tb3 0.500 0.000 0.000
Sb1 0.500 0.500 0.500
S1 0.234 0.234 0.234
S2 0.244 0.726 0.726
S3 0.274 0.274 0.756
S4 0.274 0.756 0.274
S5 0.726 0.244 0.726
S6 0.726 0.726 0.244
S7 0.756 0.274 0.274
S8 0.766 0.766 0.766

***

Record 16
Computed, not measured: a relaxed structure of Cu2Ru at the GGA-PBE level of DFT.

Values from the calculation:
Polymorph energy (0 for the lowest one)   0.1582 eV/atom
Calculated volume   12.85 Å³ per atom
Spin magnetization   0.00 μB/f.u.
SG   Cmcm, No. 63

Lattice parameters (Å, degrees): 7.055 7.055 4.401 90.00 90.00 159.40
Fractional positions:
Cu1 0.058 0.942 0.750
Cu2 0.278 0.722 0.250
Cu3 0.722 0.278 0.750
Cu4 0.942 0.058 0.250
Ru1 0.390 0.610 0.750
Ru2 0.610 0.390 0.250

***

Record 17
Computed, not measured: a relaxed structure of TbHo3 at the GGA-PBE level of DFT.

Values from the calculation:
Polymorph energy (0 for the lowest one)   0.0008 eV/atom
Calculated volume   31.50 Å³ per atom
Spin magnetization   0.00 μB/f.u.
SG   Imm2, No. 44

Lattice parameters (Å, degrees): 6.663 6.663 6.663 148.60 65.42 124.23
Fractional positions:
Tb1 0.000 0.000 0.000
Ho1 0.418 0.667 0.750
Ho2 0.499 0.999 0.500
Ho3 0.917 0.667 0.250

***

Record 18
Computed, not measured: a relaxed structure of Tc3Pt2Rh8 at the GGA-PBE level of DFT.

Values from the calculation:
DFT total energy   -7.59 eV/atom
Calculated volume   15.51 Å³ per atom
Spin magnetization   0.00 μB/f.u.
SG   C2/m, No. 12

Lattice parameters (Å, degrees): 6.770 6.770 4.779 105.28 105.28 78.29
Fractional positions:
Tc1 0.000 0.000 0.000
Tc2 0.211 0.789 0.500
Tc3 0.789 0.211 0.500
Pt1 0.274 0.274 0.191
Pt2 0.726 0.726 0.809
Rh1 0.130 0.599 0.928
Rh2 0.171 0.171 0.607
Rh3 0.401 0.870 0.072
Rh4 0.461 0.461 0.716
Rh5 0.539 0.539 0.284
Rh6 0.599 0.130 0.928
Rh7 0.829 0.829 0.393
Rh8 0.870 0.401 0.072

***

Record 19
Computed, not measured: a relaxed structure of AcMn6 at the GGA-PBE level of DFT.

Values from the calculation:
DFT total energy   -7.83 eV/atom
Calculated volume   16.89 Å³ per atom
Spin magnetization   0.00 μB/f.u.
SG   Im-3m, No. 229

Lattice parameters (Å, degrees): 5.356 5.356 5.356 109.47 109.47 109.47
Fractional positions:
Ac1 0.000 0.000 0.000
Mn1 0.250 0.500 0.750
Mn2 0.250 0.750 0.500
Mn3 0.500 0.250 0.750
Mn4 0.500 0.750 0.250
Mn5 0.750 0.250 0.500
Mn6 0.750 0.500 0.250

***

Record 20
Computed, not measured: a relaxed structure of Sr2AgSn4Pt3 at the GGA-PBE level of DFT.

Values from the calculation:
DFT total energy   -4.73 eV/atom
Calculated volume   24.08 Å³ per atom
Spin magnetization   0.00 μB/f.u.
SG   P-4m2, No. 115

Lattice parameters (Å, degrees): 4.687 4.687 10.962 90.00 90.00 90.00
Fractional positions:
Sr1 0.000 0.500 0.247
Sr2 0.500 0.000 0.753
Ag1 0.500 0.500 0.000
Sn1 0.000 0.000 0.500
Sn2 0.000 0.500 0.869
Sn3 0.500 0.000 0.131
Sn4 0.500 0.500 0.500
Pt1 0.000 0.000 0.000
Pt2 0.000 0.500 0.626
Pt3 0.500 0.000 0.374

***

Record 21
Computed, not measured: a relaxed structure of Ac4HgPbAu2 at the GGA-PBE level of DFT.

Values from the calculation:
DFT total energy   -3.99 eV/atom
Calculated volume   32.77 Å³ per atom
Spin magnetization   0.00 μB/f.u.
SG   R-3m, No. 166

Lattice parameters (Å, degrees): 10.254 10.254 10.254 31.56 31.56 31.56
Fractional positions:
Ac1 0.121 0.121 0.121
Ac2 0.374 0.374 0.374
Ac3 0.626 0.626 0.626
Ac4 0.879 0.879 0.879
Hg1 0.000 0.000 0.000
Pb1 0.500 0.500 0.500
Au1 0.263 0.263 0.263
Au2 0.737 0.737 0.737

***

Record 22
Computed, not measured: a relaxed structure of NaCeAg2I6 at the GGA-PBE level of DFT.

Values from the calculation:
Calculated volume   41.38 Å³ per atom
Spin magnetization   1.00 μB/f.u.
SG   R-3, No. 148
ΔE_f (raw)   -82.2 kJ per mole of atoms

Lattice parameters (Å, degrees): 8.833 8.833 8.833 53.55 53.55 53.55
Fractional positions:
Na1 0.000 0.000 0.000
Ce1 0.500 0.500 0.500
Ag1 0.243 0.243 0.243
Ag2 0.757 0.757 0.757
I1 0.103 0.405 0.746
I2 0.254 0.897 0.595
I3 0.405 0.746 0.103
I4 0.595 0.254 0.897
I5 0.746 0.103 0.405
I6 0.897 0.595 0.254

***

Record 23
Computed, not measured: a relaxed structure of Zn2Cu2Ni5 at the GGA-PBE level of DFT.

Values from the calculation:
Polymorph energy (0 for the lowest one)   0.0000 eV/atom
Calculated volume   11.59 Å³ per atom
Spin magnetization   0.00 μB/f.u.
SG   C2/m, No. 12

Lattice parameters (Å, degrees): 5.712 5.712 5.681 107.80 107.80 36.46
Fractional positions:
Zn1 0.055 0.055 0.326
Zn2 0.945 0.945 0.674
Cu1 0.276 0.276 0.671
Cu2 0.724 0.724 0.329
Ni1 0.170 0.170 0.999
Ni2 0.388 0.388 0.328
Ni3 0.500 0.500 0.000
Ni4 0.612 0.612 0.672
Ni5 0.830 0.830 0.001

***

Record 24
Computed, not measured: a relaxed structure of ZnCo2H6 at the GGA-PBE level of DFT.

Values from the calculation:
DFT total energy   -3.89 eV/atom
Calculated volume   8.23 Å³ per atom
Spin magnetization   1.61 μB/f.u.
SG   P-31m, No. 162

Lattice parameters (Å, degrees): 4.357 4.357 4.504 90.00 90.00 120.00
Fractional positions:
Zn1 0.000 0.000 0.000
Co1 0.333 0.667 0.000
Co2 0.667 0.333 0.000
H1 0.000 0.422 0.225
H2 0.000 0.578 0.775
H3 0.422 0.000 0.225
H4 0.422 0.422 0.775
H5 0.578 0.000 0.775
H6 0.578 0.578 0.225